The following is a DFT calculation (PBE) of an optimized crystal structure of HfTa2TcC.

POSCAR file:
```
HfTa2TcC
1.0
4.955 0.000 0.000
0.000 4.955 0.000
0.000 0.000 3.897
Hf Ta Tc C
1 2 1 1
Direct
0.000 0.000 0.000
0.000 0.500 0.500
0.500 0.000 0.500
0.500 0.500 0.500
0.500 0.500 0.000
```

Results
Magnetization, μB/cell: 0.000
Formation energy, eV/atom: 1.262
Symmetry: No. 123